(1)
# LaAl2Co SCAN single point on PBEsol structure
data_LaAl2Co
_chemical_formula_sum 'La1 Al2 Co1'
_cell_length_a 3.1171
_cell_length_b 3.1171
_cell_length_c 7.3145
_cell_angle_alpha 90.00
_cell_angle_beta 90.00
_cell_angle_gamma 90.00
_space_group_name_H-M_alt 'P 4 m m'
_space_group_IT_number 99
_space_group_name_Hall 'P 4 -2'
loop_
_atom_site_label
_atom_site_type_symbol
_atom_site_fract_x
_atom_site_fract_y
_atom_site_fract_z
La1 La 0.0000 0.0000 0.0000
Al1 Al 0.0000 0.0000 0.5717
Al2 Al 0.5000 0.5000 0.3395
Co1 Co 0.5000 0.5000 0.7124
# Formation energy from the elements = -0.2318 eV per atom



(2)
# LiCu4Pb SCAN single point on PBEsol structure
data_LiCu4Pb
_chemical_formula_sum 'Li4 Cu16 Pb4'
_cell_length_a 6.9756
_cell_length_b 6.9756
_cell_length_c 6.9756
_cell_angle_alpha 90.00
_cell_angle_beta 90.00
_cell_angle_gamma 90.00
_space_group_name_H-M_alt 'F -4 3 m'
_space_group_IT_number 216
_space_group_name_Hall 'F -4 2 3'
loop_
_atom_site_label
_atom_site_type_symbol
_atom_site_fract_x
_atom_site_fract_y
_atom_site_fract_z
Li1 Li 0.0000 0.0000 0.0000
Cu1 Cu 0.1257 0.1257 0.3743
Pb1 Pb 0.2500 0.2500 0.7500
# Formation energy from the elements = -0.0091 eV per atom



(3)
# FeNiIr SCAN single point on PBEsol structure
data_FeNiIr
_chemical_formula_sum 'Fe4 Ni4 Ir4'
_cell_length_a 5.5314
_cell_length_b 5.5314
_cell_length_c 5.5314
_cell_angle_alpha 90.00
_cell_angle_beta 90.00
_cell_angle_gamma 90.00
_space_group_name_H-M_alt 'F -4 3 m'
_space_group_IT_number 216
_space_group_name_Hall 'F -4 2 3'
loop_
_atom_site_label
_atom_site_type_symbol
_atom_site_fract_x
_atom_site_fract_y
_atom_site_fract_z
Fe1 Fe 0.0000 0.0000 0.0000
Ni1 Ni 0.2500 0.2500 0.2500
Ir1 Ir 0.0000 0.0000 0.5000
# Energy above the most stable polymorph in this dataset = 445 meV/atom
# Formation energy from the elements = 0.3906 eV per atom



(4)
# Ba2TeBr SCAN single point on PBEsol structure
data_Ba2TeBr
_chemical_formula_sum 'Ba2 Te1 Br1'
_cell_length_a 4.7859
_cell_length_b 4.7859
_cell_length_c 6.7385
_cell_angle_alpha 90.00
_cell_angle_beta 90.00
_cell_angle_gamma 90.00
_space_group_name_H-M_alt 'P 4/m m m'
_space_group_IT_number 123
_space_group_name_Hall '-P 4 2'
loop_
_atom_site_label
_atom_site_type_symbol
_atom_site_fract_x
_atom_site_fract_y
_atom_site_fract_z
Ba1 Ba 0.0000 0.0000 0.0000
Ba2 Ba 0.5000 0.5000 0.5000
Te1 Te 0.0000 0.0000 0.5000
Br1 Br 0.5000 0.5000 0.0000
# Energy above the most stable polymorph in this dataset = 9 meV/atom



| no. | electronic total energy (eV/atom) | Fermi-level density of states (states/eV per atom) |
| --- | --- | --- |
| 1 | -19.21 | 0.46 |
| 2 | -23.17 | 0.47 |
| 3 | -34.74 | 1.12 |
| 4 | -35.84 | 0.42 |